A plane-wave DFT calculation with GGA-PBE was carried out for SrIn6Pd2 after structural relaxation.

Cell lengths 9.1864, 9.1864, 9.1864 Å; angles 60.00, 60.00, 60.00 degrees
With the nearest neighbours (Å) after each atom.
Sites, in units of the cell vectors:
1 Sr 0.1250 0.1250 0.1250  6 In 3.45
2 Sr 0.8750 0.8750 0.8750  6 In 3.45
3 In 0.1405 0.1405 0.6095  2 Pd 2.70
4 In 0.1405 0.6095 0.1405  2 Pd 2.70
5 In 0.1405 0.6095 0.6095  2 Pd 2.70
6 In 0.3905 0.3905 0.8595  2 Pd 2.70
7 In 0.3905 0.8595 0.3905  2 Pd 2.70
8 In 0.3905 0.8595 0.8595  2 Pd 2.70
9 In 0.6095 0.1405 0.1405  2 Pd 2.70
10 In 0.6095 0.1405 0.6095  2 Pd 2.70
11 In 0.6095 0.6095 0.1405  2 Pd 2.70
12 In 0.8595 0.3905 0.3905  2 Pd 2.70
13 In 0.8595 0.3905 0.8595  2 Pd 2.70
14 In 0.8595 0.8595 0.3905  2 Pd 2.70
15 Pd 0.0000 0.5000 0.5000  6 In 2.70
16 Pd 0.5000 0.0000 0.5000  6 In 2.70
17 Pd 0.5000 0.5000 0.0000  6 In 2.70
18 Pd 0.5000 0.5000 0.5000  6 In 2.70

N(E_F), states/eV/atom: 0.76
Symmetry: No. 227
M_tot, μB/f.u.: 0.0
Raw total energy, eV/cell: -58.8